Run P
! SCAN Ta7Mo, single point on PBEsol structure; values from VASP
! **Magnetic moment**: 0.000 μB/cell
&SYSTEM
  ibrav = 0, nat = 8, ntyp = 2
/
ATOMIC_SPECIES
Ta 180.95 Ta.upf
Mo 95.94 Mo.upf
CELL_PARAMETERS angstrom
-3.254 3.254 3.254
3.254 -3.254 3.254
3.254 3.254 -3.254
ATOMIC_POSITIONS angstrom
Ta 1.627 1.627 -1.627
Ta 1.627 -1.627 1.627
Ta 3.254 0.000 0.000
Ta -1.627 1.627 1.627
Ta 0.000 3.254 0.000
Ta 0.000 0.000 3.254
Ta 1.627 1.627 1.627
Mo 0.000 0.000 0.000

***

Run Q
! SCAN Ta7Mo, single point on PBEsol structure; values from VASP
! **Magnetic moment**: 0.000 μB/cell
&SYSTEM
  ibrav = 0, nat = 8, ntyp = 2
/
ATOMIC_SPECIES
Ta 180.95 Ta.upf
Mo 95.94 Mo.upf
CELL_PARAMETERS angstrom
2.300 1.328 7.547
-2.300 1.328 7.547
0.000 -2.655 7.547
ATOMIC_POSITIONS angstrom
Ta 0.000 0.000 0.000
Ta 0.000 0.000 2.882
Ta 0.000 0.000 5.717
Ta 0.000 0.000 8.547
Ta 0.000 0.000 14.093
Ta 0.000 0.000 16.923
Ta 0.000 0.000 19.758
Mo 0.000 0.000 11.320

***

Q: Which of them is the most stable? A: run Q.

***

Run P
! SCAN SbTeAu2, single point on PBEsol structure; values from VASP
! **Magnetic moment**: 0.000 μB/cell
&SYSTEM
  ibrav = 0, nat = 4, ntyp = 3
/
ATOMIC_SPECIES
Sb 121.76 Sb.upf
Te 127.60 Te.upf
Au 196.97 Au.upf
CELL_PARAMETERS angstrom
3.870 0.000 0.000
0.000 3.870 0.000
0.000 0.000 5.877
ATOMIC_POSITIONS angstrom
Sb 0.000 0.000 0.000
Te 0.000 0.000 2.938
Au 1.935 1.935 1.431
Au 1.935 1.935 4.446

***

Run Q
! SCAN SbTeAu2, single point on PBEsol structure; values from VASP
! **Magnetic moment**: 0.000 μB/cell
&SYSTEM
  ibrav = 0, nat = 4, ntyp = 3
/
ATOMIC_SPECIES
Sb 121.76 Sb.upf
Te 127.60 Te.upf
Au 196.97 Au.upf
CELL_PARAMETERS angstrom
2.014 1.163 6.498
-2.014 1.163 6.498
0.000 -2.326 6.498
ATOMIC_POSITIONS angstrom
Sb 0.000 0.000 0.000
Te 0.000 0.000 9.748
Au 0.000 0.000 4.909
Au 0.000 0.000 14.586

***

Q: Which of them is the most stable? A: run Q.

***

Run P
! SCAN Zr2TaMn, single point on PBEsol structure; values from VASP
! **Magnetic moment**: 0.000 μB/cell
&SYSTEM
  ibrav = 0, nat = 4, ntyp = 3
/
ATOMIC_SPECIES
Zr 91.22 Zr.upf
Ta 180.95 Ta.upf
Mn 54.94 Mn.upf
CELL_PARAMETERS angstrom
1.541 0.889 8.710
-1.541 0.889 8.710
0.000 -1.779 8.710
ATOMIC_POSITIONS angstrom
Zr 0.000 0.000 6.257
Zr 0.000 0.000 19.871
Ta 0.000 0.000 0.000
Mn 0.000 0.000 13.064

***

Run Q
! SCAN Zr2TaMn, single point on PBEsol structure; values from VASP
! **Magnetic moment**: 3.850 μB/cell
&SYSTEM
  ibrav = 0, nat = 4, ntyp = 3
/
ATOMIC_SPECIES
Zr 91.22 Zr.upf
Ta 180.95 Ta.upf
Mn 54.94 Mn.upf
CELL_PARAMETERS angstrom
-2.118 2.118 4.153
2.118 -2.118 4.153
2.118 2.118 -4.153
ATOMIC_POSITIONS angstrom
Zr 2.118 0.000 2.076
Zr 0.000 2.118 2.076
Ta 0.000 0.000 0.000
Mn 0.000 0.000 4.153

***

Q: Which of them is the most stable? A: run Q.

***

Run P
! SCAN Sr2LaTc, single point on PBEsol structure; values from VASP
! **Magnetic moment**: 0.439 μB/cell
&SYSTEM
  ibrav = 0, nat = 4, ntyp = 3
/
ATOMIC_SPECIES
Sr 87.62 Sr.upf
La 138.91 La.upf
Tc 98.00 Tc.upf
CELL_PARAMETERS angstrom
3.730 0.000 0.000
0.000 5.274 0.000
-1.576 0.000 5.953
ATOMIC_POSITIONS angstrom
Sr 0.024 0.000 1.664
Sr 2.130 0.000 4.289
La 1.865 2.637 0.000
Tc 1.077 2.637 2.977

***

Run Q
! SCAN Sr2LaTc, single point on PBEsol structure; values from VASP
! **Magnetic moment**: 1.941 μB/cell
&SYSTEM
  ibrav = 0, nat = 4, ntyp = 3
/
ATOMIC_SPECIES
Sr 87.62 Sr.upf
La 138.91 La.upf
Tc 98.00 Tc.upf
CELL_PARAMETERS angstrom
1.758 1.015 11.571
-1.758 1.015 11.571
0.000 -2.030 11.571
ATOMIC_POSITIONS angstrom
Sr 0.000 0.000 8.043
Sr 0.000 0.000 26.668
La 0.000 0.000 0.000
Tc 0.000 0.000 17.356

***

Q: Which of them is the most stable? A: run P.

***

Run P
! SCAN LiCd2Ni, single point on PBEsol structure; values from VASP
! **Magnetic moment**: 0.000 μB/cell
&SYSTEM
  ibrav = 0, nat = 4, ntyp = 3
/
ATOMIC_SPECIES
Li 6.94 Li.upf
Cd 112.41 Cd.upf
Ni 58.69 Ni.upf
CELL_PARAMETERS angstrom
3.100 0.000 0.000
0.000 3.100 0.000
0.000 0.000 6.455
ATOMIC_POSITIONS angstrom
Li 0.000 0.000 0.000
Cd 0.000 0.000 2.729
Cd 1.550 1.550 4.847
Ni 1.550 1.550 1.214

***

Run Q
! SCAN LiCd2Ni, single point on PBEsol structure; values from VASP
! **Magnetic moment**: 0.000 μB/cell
&SYSTEM
  ibrav = 0, nat = 4, ntyp = 3
/
ATOMIC_SPECIES
Li 6.94 Li.upf
Cd 112.41 Cd.upf
Ni 58.69 Ni.upf
CELL_PARAMETERS angstrom
0.000 3.122 3.122
3.122 0.000 3.122
3.122 3.122 0.000
ATOMIC_POSITIONS angstrom
Li 0.000 0.000 0.000
Cd 1.561 1.561 1.561
Cd 4.683 4.683 4.683
Ni 3.122 3.122 3.122

***

Q: Which of them is the most stable? A: run Q.

***

Run P
! SCAN Li2NiP4O12, single point on PBEsol structure; values from VASP
! **Magnetic moment**: 4.032 μB/cell
&SYSTEM
  ibrav = 0, nat = 38, ntyp = 4
/
ATOMIC_SPECIES
Li 6.94 Li.upf
Ni 58.69 Ni.upf
P 30.97 P.upf
O 16.00 O.upf
CELL_PARAMETERS angstrom
4.595 -7.004 0.000
4.595 7.004 0.000
-1.823 0.000 7.323
ATOMIC_POSITIONS angstrom
Li 1.092 2.052 1.859
Li 0.181 -2.052 5.521
Li 7.185 2.052 1.802
Li 6.274 -2.052 5.464
Ni 4.139 1.799 1.831
Ni 3.227 -1.799 5.493
P 3.020 4.564 2.780
P 5.258 4.564 0.882
P 1.846 1.006 6.068
P 2.757 -1.006 2.406
P 4.609 1.006 4.917
P 5.520 -1.006 1.256
P 2.109 -4.564 6.442
P 4.346 -4.564 4.543
O 2.666 3.179 2.297
O 4.139 5.197 1.831
O 0.933 1.421 4.818
O 3.369 4.778 4.212
O 3.086 4.778 6.773
O 1.458 1.789 7.282
O 2.724 0.501 2.451
O 1.845 -1.421 1.157
O 3.227 1.548 5.493
O 1.813 -0.501 6.113
O 5.612 3.179 1.364
O 2.369 -1.789 3.621
O 4.997 1.789 3.703
O 1.754 -3.179 5.959
O 5.554 0.501 1.211
O 4.139 -1.548 1.831
O 5.522 1.421 6.167
O 4.642 -0.501 4.872
O 5.908 -1.789 0.041
O 4.280 -4.778 0.551
O 3.998 -4.778 3.111
O 6.433 -1.421 2.505
O 3.227 -5.197 5.493
O 4.700 -3.179 5.026

***

Run Q
! SCAN Li2NiP4O12, single point on PBEsol structure; values from VASP
! **Magnetic moment**: 0.063 μB/cell
&SYSTEM
  ibrav = 0, nat = 19, ntyp = 4
/
ATOMIC_SPECIES
Li 6.94 Li.upf
Ni 58.69 Ni.upf
P 30.97 P.upf
O 16.00 O.upf
CELL_PARAMETERS angstrom
5.192 0.000 0.000
-1.787 6.574 0.000
-0.640 -2.476 6.549
ATOMIC_POSITIONS angstrom
Li 0.352 1.287 0.475
Li 2.412 2.811 6.074
Ni 1.382 2.049 3.274
P -0.551 3.954 1.900
P -0.213 4.277 4.767
P 2.978 -0.179 1.782
P 3.315 0.143 4.649
O -0.722 0.024 5.554
O -0.965 4.465 3.365
O -1.207 3.961 5.821
O 0.076 2.569 2.057
O 0.652 4.928 1.482
O 1.788 0.750 2.003
O 0.977 3.347 4.546
O 2.112 -0.830 5.066
O 2.689 1.528 4.492
O 3.971 0.137 0.728
O 3.730 -0.367 3.184
O 3.487 4.074 0.995

***

Q: Which of them is the most stable? A: run P.

***

Run P
! SCAN Li2Ti3VO8, single point on PBEsol structure; values from VASP
! **Magnetic moment**: 2.642 μB/cell
&SYSTEM
  ibrav = 0, nat = 14, ntyp = 4
/
ATOMIC_SPECIES
Li 6.94 Li.upf
Ti 47.87 Ti.upf
V 50.94 V.upf
O 16.00 O.upf
CELL_PARAMETERS angstrom
2.960 1.709 4.733
-2.960 1.709 4.733
0.000 -3.418 4.733
ATOMIC_POSITIONS angstrom
Li 0.000 0.000 1.748
Li 0.000 0.000 12.452
Ti -1.480 -0.855 4.733
Ti -1.480 0.855 9.466
Ti 0.000 1.709 4.733
V 0.000 0.000 7.100
O 0.000 -1.554 5.850
O -1.346 0.777 5.850
O 0.000 0.000 3.708
O -1.346 -0.777 8.350
O 1.346 0.777 5.850
O 0.000 0.000 10.491
O 1.346 -0.777 8.350
O 0.000 1.554 8.350

***

Run Q
! SCAN Li2Ti3VO8, single point on PBEsol structure; values from VASP
! **Magnetic moment**: 5.998 μB/cell
&SYSTEM
  ibrav = 0, nat = 28, ntyp = 4
/
ATOMIC_SPECIES
Li 6.94 Li.upf
Ti 47.87 Ti.upf
V 50.94 V.upf
O 16.00 O.upf
CELL_PARAMETERS angstrom
5.853 0.000 0.000
-2.926 5.069 0.000
0.000 0.000 9.484
ATOMIC_POSITIONS angstrom
Li 0.000 0.000 0.000
Li 0.000 0.000 4.742
Li 0.000 3.379 0.973
Li 2.926 1.690 5.715
Ti 0.000 1.714 7.421
Ti -1.442 4.212 7.421
Ti 1.485 0.857 2.679
Ti 1.442 4.212 7.421
Ti 4.368 0.857 2.679
Ti 2.926 3.355 2.679
V 0.000 3.379 4.860
V 2.926 1.690 0.118
O 0.000 0.000 1.746
O 0.000 0.000 6.488
O -1.290 2.635 6.239
O 0.000 1.671 3.756
O -1.479 4.233 3.756
O 1.447 0.836 8.498
O 0.000 3.379 8.485
O 1.290 2.635 6.239
O 0.000 4.868 6.239
O 2.926 0.200 1.497
O 1.637 2.434 1.497
O 2.926 1.690 3.743
O 1.479 4.233 3.756
O 4.406 0.836 8.498
O 2.926 3.398 8.498
O 4.216 2.434 1.497

***

Q: Which of them is the most stable? A: run P.

***

Run P
! SCAN CuIr2Os, single point on PBEsol structure; values from VASP
! **Magnetic moment**: 0.000 μB/cell
&SYSTEM
  ibrav = 0, nat = 4, ntyp = 3
/
ATOMIC_SPECIES
Cu 63.55 Cu.upf
Ir 192.22 Ir.upf
Os 190.23 Os.upf
CELL_PARAMETERS angstrom
2.709 0.000 0.000
0.000 3.736 0.000
0.000 0.000 5.313
ATOMIC_POSITIONS angstrom
Cu 0.000 0.000 0.000
Ir 1.354 1.868 1.312
Ir 1.354 1.868 4.001
Os 0.000 0.000 2.657

***

Run Q
! SCAN CuIr2Os, single point on PBEsol structure; values from VASP
! **Magnetic moment**: 0.000 μB/cell
&SYSTEM
  ibrav = 0, nat = 4, ntyp = 3
/
ATOMIC_SPECIES
Cu 63.55 Cu.upf
Ir 192.22 Ir.upf
Os 190.23 Os.upf
CELL_PARAMETERS angstrom
1.347 0.778 8.608
-1.347 0.778 8.608
0.000 -1.555 8.608
ATOMIC_POSITIONS angstrom
Cu 0.000 0.000 0.000
Ir 0.000 0.000 6.479
Ir 0.000 0.000 19.345
Os 0.000 0.000 12.912

***

Q: Which of them is the most stable? A: run Q.

***

Run P
! SCAN CaTe2Mo, single point on PBEsol structure; values from VASP
! **Magnetic moment**: 3.984 μB/cell
&SYSTEM
  ibrav = 0, nat = 4, ntyp = 3
/
ATOMIC_SPECIES
Ca 40.08 Ca.upf
Te 127.60 Te.upf
Mo 95.94 Mo.upf
CELL_PARAMETERS angstrom
0.000 3.677 3.677
3.677 0.000 3.677
3.677 3.677 0.000
ATOMIC_POSITIONS angstrom
Ca 0.000 0.000 0.000
Te 3.677 3.677 3.677
Te 5.515 5.515 5.515
Mo 1.838 1.838 1.838

***

Run Q
! SCAN CaTe2Mo, single point on PBEsol structure; values from VASP
! **Magnetic moment**: 2.000 μB/cell
&SYSTEM
  ibrav = 0, nat = 4, ntyp = 3
/
ATOMIC_SPECIES
Ca 40.08 Ca.upf
Te 127.60 Te.upf
Mo 95.94 Mo.upf
CELL_PARAMETERS angstrom
2.105 1.215 6.573
-2.105 1.215 6.573
0.000 -2.431 6.573
ATOMIC_POSITIONS angstrom
Ca 0.000 0.000 0.000
Te 0.000 0.000 4.672
Te 0.000 0.000 15.048
Mo 0.000 0.000 9.860

***

Q: Which of them is the most stable? A: run Q.

***

Run P
! SCAN La2SiCl, single point on PBEsol structure; values from VASP
! **Magnetic moment**: 0.000 μB/cell
&SYSTEM
  ibrav = 0, nat = 4, ntyp = 3
/
ATOMIC_SPECIES
La 138.91 La.upf
Si 28.09 Si.upf
Cl 35.45 Cl.upf
CELL_PARAMETERS angstrom
4.227 0.000 0.000
0.000 4.227 0.000
0.000 0.000 5.911
ATOMIC_POSITIONS angstrom
La 0.000 0.000 0.000
La 2.114 2.114 2.955
Si 0.000 0.000 2.955
Cl 2.114 2.114 0.000

***

Run Q
! SCAN La2SiCl, single point on PBEsol structure; values from VASP
! **Magnetic moment**: 0.002 μB/cell
&SYSTEM
  ibrav = 0, nat = 8, ntyp = 3
/
ATOMIC_SPECIES
La 138.91 La.upf
Si 28.09 Si.upf
Cl 35.45 Cl.upf
CELL_PARAMETERS angstrom
-3.000 3.000 7.589
3.000 -3.000 7.589
3.000 3.000 -7.589
ATOMIC_POSITIONS angstrom
La 4.500 1.496 -1.897
La 1.496 1.500 1.897
La -1.500 1.504 5.691
La 1.504 1.500 9.486
Si 3.000 0.000 3.794
Si 0.000 0.000 7.589
Cl 0.000 0.000 0.000
Cl 0.000 3.000 3.794

***

Q: Which of them is the most stable? A: run P.

***

Run P
! SCAN Mg2AsPb, single point on PBEsol structure; values from VASP
! **Magnetic moment**: 0.000 μB/cell
&SYSTEM
  ibrav = 0, nat = 4, ntyp = 3
/
ATOMIC_SPECIES
Mg 24.30 Mg.upf
As 74.92 As.upf
Pb 207.20 Pb.upf
CELL_PARAMETERS angstrom
3.191 0.000 0.000
0.000 3.629 0.000
0.000 0.000 7.667
ATOMIC_POSITIONS angstrom
Mg 0.000 0.000 1.576
Mg 0.000 0.000 6.091
As 1.595 1.814 0.000
Pb 1.595 1.814 3.833

***

Run Q
! SCAN Mg2AsPb, single point on PBEsol structure; values from VASP
! **Magnetic moment**: 0.000 μB/cell
&SYSTEM
  ibrav = 0, nat = 4, ntyp = 3
/
ATOMIC_SPECIES
Mg 24.30 Mg.upf
As 74.92 As.upf
Pb 207.20 Pb.upf
CELL_PARAMETERS angstrom
1.999 1.154 6.989
-1.999 1.154 6.989
0.000 -2.309 6.989
ATOMIC_POSITIONS angstrom
Mg 0.000 0.000 4.752
Mg 0.000 0.000 16.215
As 0.000 0.000 10.484
Pb 0.000 0.000 0.000

***

Run R
! SCAN Mg2AsPb, single point on PBEsol structure; values from VASP
! **Magnetic moment**: 0.002 μB/cell
&SYSTEM
  ibrav = 0, nat = 4, ntyp = 3
/
ATOMIC_SPECIES
Mg 24.30 Mg.upf
As 74.92 As.upf
Pb 207.20 Pb.upf
CELL_PARAMETERS angstrom
-1.875 2.096 5.850
1.875 -2.096 5.850
1.875 2.096 -5.850
ATOMIC_POSITIONS angstrom
Mg 0.000 0.000 0.000
Mg 0.000 2.096 2.347
As 0.000 0.000 6.157
Pb 1.875 0.000 3.528

***

Q: Which of them is the most stable? A: run Q.